1.
This record from the Alexandria database describes crystalline GeCI3 at its relaxed geometry. The functional is GGA-PBE.

Lattice parameters (Å, degrees): 5.0884 5.0884 5.0884 90.00 90.00 90.00
Space group Pm-3m (No. 221)
Symmetry-distinct sites (fractional):
Ge (0.0000, 0.0000, 0.0000) x1
C (0.5000, 0.5000, 0.5000) x1
I (0.0000, 0.5000, 0.5000) x3

Computed properties:
excess energy over the best structure of this formula in the dataset = 0 meV/atom
raw formation energy = 5.83 eV/f.u.
DOS(E_F) = 3.04 states/eV per cell
crystal system = cubic
calculated density = 5.9 g cm⁻³
energy = -2.533 eV per atom
size of the total moment = 0.00 μB per formula unit



2.
This record from the Alexandria database describes crystalline BaNaSe3 at its relaxed geometry. The functional is GGA-PBE.

Lattice parameters (Å, degrees): 6.2390 6.2390 6.2390 90.00 90.00 90.00
Space group Pm-3m (No. 221)
Symmetry-distinct sites (fractional):
Ba (0.0000, 0.0000, 0.0000) x1
Na (0.5000, 0.5000, 0.5000) x1
Se (0.0000, 0.0000, 0.5000) x3

Computed properties:
excess energy over the best structure of this formula in the dataset = 329 meV/atom
raw formation energy = -1.32 eV/f.u.
DOS(E_F) = 2.94 states/eV per cell
crystal system = cubic
calculated density = 2.7 g cm⁻³
energy = -3.004 eV per atom
size of the total moment = 3.00 μB per formula unit



3.
This record from the Alexandria database describes crystalline LiPuTeO5 at its relaxed geometry. The functional is GGA-PBE.

Lattice parameters (Å, degrees): 8.3929 8.5324 8.3601 90.00 119.58 90.00
Space group C2/c (No. 15)
Symmetry-distinct sites (fractional):
Li (0.0000, 0.1812, 0.2500) x4
Pu (0.0000, 0.5000, 0.0000) x4
Te (0.0000, 0.1644, 0.7500) x4
O (0.0000, 0.4838, 0.7500) x4
O (0.0007, 0.2612, 0.4907) x8
O (0.1826, 0.0062, 0.8414) x8

Computed properties:
raw formation energy = -15.31 eV/f.u.
DOS(E_F) = 21.82 states/eV per cell
crystal system = monoclinic
calculated density = 5.8 g cm⁻³
energy = -7.436 eV per atom
size of the total moment = 3.00 μB per formula unit



4.
This record from the Alexandria database describes crystalline KSc2Hg at its relaxed geometry. The functional is GGA-PBE.

Lattice parameters (Å, degrees): 4.7788 4.7863 10.5738 90.00 90.00 90.00
Space group Cmmm (No. 65)
Symmetry-distinct sites (fractional):
K (0.0000, 0.0000, 0.0000) x2
Sc (0.0000, 0.5000, 0.3242) x4
Hg (0.0000, 0.0000, 0.5000) x2

Computed properties:
DOS(E_F) = 12.28 states/eV per cell
crystal system = orthorhombic
ΔE_f = 0.15 eV per atom
calculated density = 4.5 g cm⁻³
energy = -3.361 eV per atom
size of the total moment = 1.06 μB per formula unit



5.
This record from the Alexandria database describes crystalline MnCuAsRh at its relaxed geometry. The functional is GGA-PBE.

Lattice parameters (Å, degrees): 6.0644 6.0644 6.0644 90.00 90.00 90.00
Space group F-43m (No. 216)
Symmetry-distinct sites (fractional):
Mn (0.0000, 0.0000, 0.0000) x4
Cu (0.2500, 0.2500, 0.2500) x4
As (0.2500, 0.2500, 0.7500) x4
Rh (0.0000, 0.0000, 0.5000) x4

Computed properties:
DOS(E_F) = 10.73 states/eV per cell
crystal system = cubic
ΔE_f = -0.08 eV per atom
calculated density = 8.8 g cm⁻³
energy = -6.396 eV per atom
size of the total moment = 3.87 μB per formula unit



6.
This record from the Alexandria database describes crystalline Tb8Pm2Y3 at its relaxed geometry. The functional is GGA-PBE.

Lattice parameters (Å, degrees): 20.6414 7.6410 5.6015 90.00 90.02 90.00
Space group C2/m (No. 12)
Symmetry-distinct sites (fractional):
Tb (0.1069, 0.2110, 0.0002) x8
Tb (0.1311, 0.5000, 0.4998) x4
Tb (0.1644, 0.0000, 0.5005) x4
Pm (0.2412, 0.5000, 0.9993) x4
Y (0.0000, 0.2144, 0.5000) x4
Y (0.0000, 0.5000, 0.0000) x2

Computed properties:
DOS(E_F) = 44.85 states/eV per cell
crystal system = monoclinic
ΔE_f = 0.23 eV per atom
calculated density = 6.9 g cm⁻³
energy = -4.838 eV per atom
size of the total moment = 0.00 μB per formula unit



7.
This record from the Alexandria database describes crystalline CaMgC at its relaxed geometry. The functional is GGA-PBE.

Lattice parameters (Å, degrees): 3.6866 3.6866 9.7711 90.00 90.00 90.00
Space group P4mm (No. 99)
Symmetry-distinct sites (fractional):
Ca (0.0000, 0.0000, 0.0000) x1
Ca (0.5000, 0.5000, 0.3243) x1
Mg (0.0000, 0.0000, 0.6008) x1
Mg (0.5000, 0.5000, 0.7749) x1
C (0.0000, 0.0000, 0.2501) x1
C (0.0000, 0.0000, 0.3829) x1

Computed properties:
DOS(E_F) = 4.43 states/eV per cell
crystal system = tetragonal
ΔE_f = 0.01 eV per atom
calculated density = 1.9 g cm⁻³
energy = -4.264 eV per atom
size of the total moment = 0.00 μB per formula unit



8.
This record from the Alexandria database describes crystalline Dy4Tm8Mg at its relaxed geometry. The functional is GGA-PBE.

Lattice parameters (Å, degrees): 7.0614 7.0614 28.1203 90.00 90.00 120.00
Space group R-3m (No. 166, hexagonal axes)
Symmetry-distinct sites (fractional):
Dy (0.0000, 0.0000, 0.0000) x3
Dy (0.0000, 0.5000, 0.0000) x9
Tm (0.0000, 0.0000, 0.2118) x6
Tm (0.0200, 0.5100, 0.7640) x18
Mg (0.0000, 0.0000, 0.5000) x3

Computed properties:
DOS(E_F) = 51.26 states/eV per cell
crystal system = trigonal
ΔE_f = 0.20 eV per atom
calculated density = 8.3 g cm⁻³
energy = -4.085 eV per atom
size of the total moment = 0.00 μB per formula unit